Version A
First-principles (GGA-PBE) data for a geometry-optimized ZrBeCuGe structure, as listed in OQMD.

```
4
Lattice="0.0000 3.0903 3.0903 3.0903 0.0000 3.0903 3.0903 3.0903 0.0000" Properties=species:S:1:pos:R:3 pbc="T T T"
Zr 0.0000 0.0000 0.0000
Be 4.6355 4.6355 4.6355
Cu 1.5452 1.5452 1.5452
Ge 3.0903 3.0903 3.0903
```

Density = 6.651 g cm⁻³

Version B
First-principles (GGA-PBE) data for a geometry-optimized ZrBeCuGe structure, as listed in OQMD.

```
4
Lattice="0.0000 3.1027 3.1027 3.1027 0.0000 3.1027 3.1027 3.1027 0.0000" Properties=species:S:1:pos:R:3 pbc="T T T"
Zr 0.0000 0.0000 0.0000
Be 4.6541 4.6541 4.6541
Cu 3.1027 3.1027 3.1027
Ge 1.5514 1.5514 1.5514
```

Density = 6.572 g cm⁻³

Most stable structure - version B; separation to the second - 5.7 kJ/mol of atoms.